No. 1
Below is a relaxed Rb2ZrCuCl6 crystal, with properties calculated at the PBE-GGA level.

Summary:
For the uncorrected formation energy, the calculation gives -14.85 eV/f.u. As for the symmetry: I4/mmm (139). For the density of states at the Fermi level, the calculation gives 7.986 states/eV/f.u. The crystal system is tetragonal.

a = 7.912 Å, b = 7.912 Å, c = 7.210 Å
α = 56.72°, β = 56.72°, γ = 90.00°
Site moments in Bohr magnetons follow the coordinates.
Fractional positions:
Rb1 0.750 0.250 0.500  0.00
Rb2 0.250 0.750 0.500  0.00
Cl1 0.771 0.229 0.000  0.00
Cl2 0.229 0.229 0.000  0.00
Cl3 0.271 0.271 0.457  0.00
Cl4 0.771 0.771 0.000  0.00
Cl5 0.729 0.729 0.543  0.00
Cl6 0.229 0.771 0.000  0.00
Cu1 0.500 0.500 0.000  0.00
Zr1 0.000 0.000 0.000  0.69



No. 2
Below is a relaxed RbZrCu2Cl8 crystal, with properties calculated at the PBE-GGA level.

Summary:
For the uncorrected formation energy, the calculation gives -15.50 eV/f.u. As for the symmetry: P-1 (2). For the density of states at the Fermi level, the calculation gives 2.362 states/eV/f.u. The crystal system is triclinic.

a = 6.315 Å, b = 7.014 Å, c = 9.433 Å
α = 61.20°, β = 85.32°, γ = 93.82°
Site moments in Bohr magnetons follow the coordinates.
Fractional positions:
Cl1 0.119 0.734 0.268  0.01
Cl2 0.881 0.266 0.732  0.01
Cl3 0.345 0.252 0.929  0.02
Cl4 0.500 0.280 0.468  0.11
Cl5 0.160 0.810 0.867  0.00
Cl6 0.655 0.748 0.071  0.02
Cl7 0.500 0.720 0.532  0.11
Cl8 0.840 0.190 0.133  0.00
Cu1 0.494 0.656 0.322  0.35
Cu2 0.506 0.344 0.678  0.35
Zr1 0.000 0.000 0.000  0.00
Rb1 0.000 0.000 0.500  0.00



No. 3
Below is a relaxed CuReCl2 crystal, with properties calculated at the PBE-GGA level.

Summary:
The energy above the lowest structure with this stoichiometry is 742 meV per atom. For the uncorrected formation energy, the calculation gives 3.62 eV/f.u. As for the symmetry: I-42d (122). For the density of states at the Fermi level, the calculation gives 1.214 states/eV/f.u. The crystal system is tetragonal.

a = 5.633 Å, b = 5.633 Å, c = 6.234 Å
α = 63.14°, β = 63.14°, γ = 90.00°
Fractional positions:
Cu1 0.500 0.500 0.000
Cu2 0.250 0.750 0.500
Cl1 0.875 0.870 0.750
Cl2 0.620 0.125 0.250
Cl3 0.375 0.380 0.750
Cl4 0.130 0.625 0.250
Re1 0.750 0.250 0.500
Re2 0.000 0.000 0.000



No. 4
Below is a relaxed CuRe2Cl crystal, with properties calculated at the PBE-GGA level.

Summary:
The energy above the lowest structure with this stoichiometry is 952 meV per atom. For the uncorrected formation energy, the calculation gives 4.94 eV/f.u. As for the symmetry: Fm-3m (225). For the density of states at the Fermi level, the calculation gives 4.060 states/eV/f.u. The crystal system is cubic.

a = 4.279 Å, b = 4.279 Å, c = 4.279 Å
α = 60.00°, β = 60.00°, γ = 60.00°
Fractional positions:
Cl1 0.000 0.000 0.000
Re1 0.750 0.750 0.750
Re2 0.250 0.250 0.250
Cu1 0.500 0.500 0.500



No. 5
Below is a relaxed CuRe2Cl crystal, with properties calculated at the PBE-GGA level.

Summary:
The energy above the lowest structure with this stoichiometry is 494 meV per atom. For the uncorrected formation energy, the calculation gives 3.11 eV/f.u. As for the symmetry: R-3m (166). For the density of states at the Fermi level, the calculation gives 4.392 states/eV/f.u. The crystal system is trigonal.

a = 8.595 Å, b = 8.595 Å, c = 8.595 Å
α = 18.84°, β = 18.84°, γ = 18.84°
Fractional positions:
Cl1 0.250 0.250 0.250
Re1 0.000 0.000 0.000
Re2 0.500 0.500 0.500
Cu1 0.750 0.750 0.750



No. 6
Below is a relaxed CuReCl2 crystal, with properties calculated at the PBE-GGA level.

Summary:
The energy above the lowest structure with this stoichiometry is 841 meV per atom. For the uncorrected formation energy, the calculation gives 4.01 eV/f.u. As for the symmetry: I-4m2 (119). For the density of states at the Fermi level, the calculation gives 2.215 states/eV/f.u. The crystal system is tetragonal.

a = 6.372 Å, b = 6.372 Å, c = 6.372 Å
α = 147.95°, β = 147.95°, γ = 45.96°
Site moments in Bohr magnetons follow the coordinates.
Fractional positions:
Cl1 0.250 0.750 0.500  0.06
Cl2 0.000 0.000 0.000  0.07
Cu1 0.500 0.500 0.000  0.06
Re1 0.750 0.250 0.500  2.48



No. 7
Below is a relaxed CuReCl2 crystal, with properties calculated at the PBE-GGA level.

Summary:
The energy above the lowest structure with this stoichiometry is 46 meV per atom. For the uncorrected formation energy, the calculation gives 0.83 eV/f.u. As for the symmetry: Immm (71). For the density of states at the Fermi level, the calculation gives 2.733 states/eV/f.u. The crystal system is orthorhombic.

a = 7.540 Å, b = 7.540 Å, c = 4.508 Å
α = 72.57°, β = 72.57°, γ = 22.02°
Site moments in Bohr magnetons follow the coordinates.
Fractional positions:
Re1 0.750 0.750 0.750  0.82
Cl1 0.112 0.112 0.888  0.04
Cl2 0.388 0.388 0.612  0.04
Cu1 0.250 0.250 0.250  0.10



No. 8
Below is a relaxed CuRe2Cl crystal, with properties calculated at the PBE-GGA level.

Summary:
The energy above the lowest structure with this stoichiometry is 130 meV per atom. For the uncorrected formation energy, the calculation gives 1.66 eV/f.u. As for the symmetry: P4mm (99). For the density of states at the Fermi level, the calculation gives 4.042 states/eV/f.u. The crystal system is tetragonal.

a = 2.876 Å, b = 2.876 Å, c = 8.269 Å
α = 90.00°, β = 90.00°, γ = 90.00°
Fractional positions:
Cu1 0.500 0.500 0.806
Re1 0.000 0.000 0.025
Re2 0.500 0.500 0.226
Cl1 0.000 0.000 0.443



No. 9
Below is a relaxed CuReCl2 crystal, with properties calculated at the PBE-GGA level.

Summary:
The energy above the lowest structure with this stoichiometry is 440 meV per atom. For the uncorrected formation energy, the calculation gives 2.41 eV/f.u. As for the symmetry: R-3m (166). For the density of states at the Fermi level, the calculation gives 2.352 states/eV/f.u. The crystal system is trigonal.

a = 9.987 Å, b = 9.987 Å, c = 9.987 Å
α = 17.06°, β = 17.06°, γ = 17.06°
Site moments in Bohr magnetons follow the coordinates.
Fractional positions:
Cu1 0.250 0.250 0.250  0.01
Cl1 0.021 0.021 0.021  0.01
Cl2 0.479 0.479 0.479  0.01
Re1 0.750 0.750 0.750  0.41



No. 10
Below is a relaxed CuReCl2 crystal, with properties calculated at the PBE-GGA level.

Summary:
The energy above the lowest structure with this stoichiometry is 400 meV per atom. For the uncorrected formation energy, the calculation gives 2.25 eV/f.u. As for the symmetry: P2/m (10). For the density of states at the Fermi level, the calculation gives 1.658 states/eV/f.u. The crystal system is monoclinic.

a = 4.061 Å, b = 2.858 Å, c = 5.795 Å
α = 104.70°, β = 90.00°, γ = 90.00°
Fractional positions:
Cl1 0.000 0.859 0.996
Cl2 0.000 0.641 0.504
Cu1 0.500 0.250 0.250
Re1 0.500 0.750 0.750



No. 11
Below is a relaxed CuRe2Cl crystal, with properties calculated at the PBE-GGA level.

Summary:
The energy above the lowest structure with this stoichiometry is 0 meV per atom. For the uncorrected formation energy, the calculation gives 1.14 eV/f.u. As for the symmetry: Pm (6). For the density of states at the Fermi level, the calculation gives 2.960 states/eV/f.u. The crystal system is monoclinic.

a = 2.962 Å, b = 3.003 Å, c = 7.483 Å
α = 89.67°, β = 90.00°, γ = 90.00°
Fractional positions:
Re1 0.000 0.002 0.018
Re2 0.500 0.499 0.215
Cu1 0.500 0.505 0.780
Cl1 0.000 0.495 0.487



No. 12
Below is a relaxed CuRe3Cl crystal, with properties calculated at the PBE-GGA level.

Summary:
The energy above the lowest structure with this stoichiometry is 0 meV per atom. For the uncorrected formation energy, the calculation gives 9.10 eV/f.u. As for the symmetry: Pm-3m (221). For the density of states at the Fermi level, the calculation gives 6.112 states/eV/f.u. The crystal system is cubic.

a = 4.325 Å, b = 4.325 Å, c = 4.325 Å
α = 90.00°, β = 90.00°, γ = 90.00°
Fractional positions:
Cl1 0.000 0.000 0.000
Re1 0.000 0.500 0.000
Re2 0.000 0.000 0.500
Re3 0.500 0.000 0.000
Cu1 0.500 0.500 0.500



No. 13
Below is a relaxed CuReCl2 crystal, with properties calculated at the PBE-GGA level.

Summary:
The energy above the lowest structure with this stoichiometry is 149 meV per atom. For the uncorrected formation energy, the calculation gives 1.25 eV/f.u. As for the symmetry: Cmm2 (35). For the density of states at the Fermi level, the calculation gives 3.446 states/eV/f.u. The crystal system is orthorhombic.

a = 3.065 Å, b = 3.065 Å, c = 9.270 Å
α = 90.00°, β = 90.00°, γ = 121.69°
Site moments in Bohr magnetons follow the coordinates.
Fractional positions:
Cu1 0.000 0.000 0.507  0.03
Cl1 0.000 0.000 0.937  0.03
Cl2 0.500 0.500 0.323  0.00
Re1 0.500 0.500 0.733  0.49



No. 14
Below is a relaxed CuReCl2 crystal, with properties calculated at the PBE-GGA level.

Summary:
The energy above the lowest structure with this stoichiometry is 921 meV per atom. For the uncorrected formation energy, the calculation gives 4.33 eV/f.u. As for the symmetry: Pmmm (47). For the density of states at the Fermi level, the calculation gives 3.995 states/eV/f.u. The crystal system is orthorhombic.

a = 2.934 Å, b = 3.632 Å, c = 5.918 Å
α = 90.00°, β = 90.00°, γ = 90.00°
Site moments in Bohr magnetons follow the coordinates.
Fractional positions:
Cu1 0.500 0.500 0.250  0.01
Cl1 0.000 0.000 0.514  0.02
Cl2 0.000 0.000 0.986  0.02
Re1 0.500 0.500 0.750  0.81